Material: Ca2YUAs4
Method: DFT, PBE
State: optimized geometry

Values from the calculation:
Spin magnetization = 0.997 μB/cell
Formation energy from the elements = -112.2 kJ per mole of atoms
Density of states at the Fermi level = 5.2 states/eV/f.u.
DFT total energy = -6.21 eV per atom

Unit cell a=7.188 b=4.188 c=7.246 alpha=90.00 beta=109.19 gamma=90.00
Space group P2/m (No. 10)
Inequivalent atoms, fractional coordinates:
Ca 0.000 0.000 0.000 x1
Ca 0.500 0.500 0.000 x1
Y 0.000 0.500 0.500 x1
U 0.500 0.000 0.500 x1
As 0.255 0.000 0.732 x2
As 0.264 0.500 0.271 x2